# 1
ZnHg2Pt | GGA-PBE | relaxed

a = 2.950 Å, b = 3.668 Å, c = 7.233 Å
α = 90.00°, β = 90.00°, γ = 90.00°
Space group Pmm2 (No. 25)
Unique sites:
Zn1 0.000 0.000 0.000 x1
Hg1 0.000 0.000 0.584 x1
Hg2 0.500 0.500 0.278 x1
Pt1 0.500 0.500 0.850 x1

Values from the calculation:
ΔE_f in eV per atom: -0.052



# 2
ZnHgPt2 | GGA-PBE | relaxed

a = 5.844 Å, b = 7.647 Å, c = 2.961 Å
α = 90.00°, β = 90.00°, γ = 90.00°
Space group Cmmm (No. 65)
Unique sites:
Zn1 0.000 0.000 0.000 x2
Hg1 0.000 0.500 0.000 x2
Pt1 0.250 0.250 0.500 x4

Values from the calculation:
ΔE_f in eV per atom: -0.197



# 3
ZnHg2Pt | GGA-PBE | relaxed

a = 3.004 Å, b = 3.004 Å, c = 8.597 Å
α = 90.00°, β = 90.00°, γ = 90.00°
Space group P4mm (No. 99)
Unique sites:
Zn1 0.000 0.000 0.000 x1
Hg1 0.000 0.000 0.572 x1
Hg2 0.500 0.500 0.260 x1
Pt1 0.500 0.500 0.823 x1

Values from the calculation:
ΔE_f in eV per atom: -0.061



# 4
Zn2HgPt2 | GGA-PBE | relaxed

a = 3.774 Å, b = 3.774 Å, c = 12.404 Å
α = 90.00°, β = 90.00°, γ = 90.00°
Space group I4/mmm (No. 139)
Unique sites:
Zn1 0.000 0.500 0.250 x4
Hg1 0.000 0.000 0.000 x2
Pt1 0.000 0.000 0.392 x4

Values from the calculation:
Energy above the most stable polymorph in this dataset in eV/atom: 0.1298
ΔE_f in eV per atom: -0.220



# 5
ZnHg2Pt | GGA-PBE | relaxed

a = 3.0220 Å, b = 3.0220 Å, c = 29.5122 Å
α = 90.00°, β = 90.00°, γ = 120.00°
Space group R3m (No. 160, hexagonal axes)
Unique sites:
Zn1 0.0000 0.0000 0.0000 x3
Hg1 0.0000 0.0000 0.2493 x3
Hg2 0.0000 0.0000 0.4815 x3
Pt1 0.0000 0.0000 0.7314 x3

Values from the calculation:
ΔE_f in eV per atom: 0.018



# 6
ZnHgPt2 | GGA-PBE | relaxed

a = 4.116 Å, b = 4.143 Å, c = 7.740 Å
α = 90.00°, β = 90.00°, γ = 90.00°
Space group Immm (No. 71)
Unique sites:
Zn1 0.000 0.000 0.000 x2
Hg1 0.000 0.000 0.500 x2
Pt1 0.000 0.500 0.251 x4

Values from the calculation:
ΔE_f in eV per atom: -0.210



no.,calculated total energy (eV per atom)
1,-2.032
2,-3.611
3,-2.041
4,-3.207
5,-1.962
6,-3.625